{"formula": "NdEr6Tm2Sc", "functional": "PBE-GGA", "state": "relaxed", "sg": "C2/c, No. 15", "vol_a3_per_fu": 307, "magnetic_moment_mub_per_atom": 0.000, "n_ef_per_ev_cell": 29.16, "formation_energy_mev_per_atom": 130.4, "lattice_angstrom": [[8.804, -1.849, -1.919], [0.906, 8.394, -1.900], [0.906, -2.209, 8.318]], "species": ["Nd", "Nd", "Er", "Er", "Er", "Er", "Er", "Er", "Er", "Er", "Er", "Er", "Er", "Er", "Tm", "Tm", "Tm", "Tm", "Sc", "Sc"], "frac_coords": [[0.250, 0.970, 0.030], [0.750, 0.030, 0.970], [0.056, 0.125, 0.759], [0.444, 0.241, 0.875], [0.944, 0.875, 0.241], [0.556, 0.759, 0.125], [0.313, 0.999, 0.445], [0.187, 0.555, 0.001], [0.687, 0.001, 0.555], [0.813, 0.445, 0.999], [0.111, 0.709, 0.484], [0.389, 0.516, 0.291], [0.889, 0.291, 0.516], [0.611, 0.484, 0.709], [0.447, 0.795, 0.691], [0.053, 0.309, 0.205], [0.553, 0.205, 0.309], [0.947, 0.691, 0.795], [0.250, 0.416, 0.584], [0.750, 0.584, 0.416]]}

***

{"formula": "Nd2Er6Tm3Sc", "functional": "PBE-GGA", "state": "relaxed", "sg": "C2/m, No. 12", "vol_a3_per_fu": 367, "magnetic_moment_mub_per_atom": 0.000, "n_ef_per_ev_cell": 16.42, "formation_energy_mev_per_atom": 29.8, "lattice_angstrom": [[6.073, 0.001, 0.003], [-3.034, 5.261, 0.003], [-1.015, -1.758, 11.475]], "species": ["Nd", "Nd", "Er", "Er", "Er", "Er", "Er", "Er", "Tm", "Tm", "Tm", "Sc"], "frac_coords": [[0.333, 0.667, 0.000], [0.667, 0.333, 0.000], [0.916, 0.586, 0.748], [0.754, 0.754, 0.252], [0.084, 0.414, 0.252], [0.586, 0.916, 0.748], [0.246, 0.246, 0.748], [0.414, 0.084, 0.252], [0.166, 0.834, 0.500], [0.834, 0.166, 0.500], [0.500, 0.500, 0.500], [0.000, 0.000, 0.000]]}